(1)
Density functional theory data (PBE) for HoH4 after structural relaxation.

Structure (POSCAR):
```
HoH4
1.0
4.1751 0.0000 0.0000
0.0000 4.1751 0.0000
0.0000 0.0000 4.1751
H Ho
4 1
direct
0.0000 0.0000 0.0000
0.5000 0.0000 0.5000
0.0000 0.5000 0.5000
0.5000 0.5000 0.0000
0.5000 0.5000 0.5000
```

Summary:
**Raw total energy**: -3.3396 eV/atom

(2)
Density functional theory data (PBE) for CoAgPb2 after structural relaxation.

Structure (POSCAR):
```
CoAgPb2
1.0
3.3299 0.0000 0.0000
0.0000 3.3299 0.0000
0.0000 0.0000 7.9957
Ag Co Pb
1 1 2
direct
0.0000 0.0000 0.5478
0.5000 0.5000 0.7237
0.0000 0.0000 0.9288
0.5000 0.5000 0.2998
```

Summary:
**DOS(E_F)**: 1.0720 states/eV/atom
**ΔE_f**: 0.3458 eV/atom

no.,magnetization (μB/atom)
1,0.200
2,0.312